Entry from Alexandria: a geometry-optimized LiAlSe2Br structure (PBE).

Summary:
E above lowest polymorph: 0 meV/atom
SG: P4/mmm
Mass density: 3.48 g/cm3
Formation energy without anion corrections: -0.491 eV per atom
Crystal system: tetragonal

a b c (Å): 4.837 4.837 5.544
angles (deg): 90.00 90.00 90.00
Fractional coordinates of all 5 atoms:
1 Li 0.000 0.000 0.000
2 Al 0.500 0.500 0.500
3 Se 0.000 0.500 0.500
4 Se 0.500 0.000 0.500
5 Br 0.500 0.500 0.000